Compound: LaZn2Cd
Source: Alexandria via LeMat-Bulk
Functional: PBE
Structure: relaxed

Values from the calculation:
SG: Pmmm, No. 47

Cell lengths 4.690, 3.388, 5.990 Å; angles 90.00, 90.00, 90.00 degrees
Fractional coordinates of all 4 atoms:
1 Cd 0.500 0.250 0.250
2 Zn 0.000 0.250 0.497
3 Zn 0.000 0.250 0.003
4 La 0.500 0.750 0.750

---

Compound: La2Zn2Cd
Source: Alexandria via LeMat-Bulk
Functional: PBE
Structure: relaxed

Values from the calculation:
SG: Cmmm, No. 65

Cell lengths 3.654, 4.684, 7.883 Å; angles 107.28, 90.00, 90.00 degrees
Fractional coordinates of all 5 atoms:
1 La 0.500 0.625 0.251
2 La 0.500 0.375 0.749
3 Zn 0.000 0.797 0.595
4 Zn 0.000 0.203 0.405
5 Cd 0.000 0.000 0.000

---

Compound: La2ZnCd16
Source: Alexandria via LeMat-Bulk
Functional: PBE
Structure: relaxed

Values from the calculation:
SG: R3m, No. 160

Cell lengths 7.680, 7.680, 7.680 Å; angles 82.46, 82.46, 82.46 degrees
Fractional coordinates of all 19 atoms:
1 Cd 0.000 0.702 0.298
2 Cd 0.347 0.347 0.864
3 Cd 0.702 0.298 0.000
4 Cd 0.983 0.526 0.983
5 Cd 0.347 0.864 0.347
6 Cd 0.526 0.983 0.983
7 Cd 0.702 0.000 0.298
8 Cd 0.633 0.189 0.633
9 Cd 0.633 0.633 0.189
10 Cd 0.298 0.702 0.000
11 Cd 0.298 0.000 0.702
12 Cd 0.983 0.983 0.526
13 Cd 0.000 0.298 0.702
14 Cd 0.189 0.633 0.633
15 Cd 0.094 0.094 0.094
16 Cd 0.864 0.347 0.347
17 La 0.329 0.329 0.329
18 La 0.670 0.670 0.670
19 Zn 0.900 0.900 0.900

---

Compound: LaZnCd3
Source: Alexandria via LeMat-Bulk
Functional: PBE
Structure: relaxed

Values from the calculation:
offset from the most stable computed form: 247 meV per atom
SG: Pm-3m, No. 221

Cell lengths 5.068, 5.068, 5.068 Å; angles 90.00, 90.00, 90.00 degrees
Fractional coordinates of all 5 atoms:
1 Cd 0.500 0.000 0.000
2 Cd 0.000 0.000 0.500
3 Cd 0.000 0.500 0.000
4 Zn 0.000 0.000 0.000
5 La 0.500 0.500 0.500

---

Compound: La3Zn4Cd4
Source: Alexandria via LeMat-Bulk
Functional: PBE
Structure: relaxed

Values from the calculation:
offset from the most stable computed form: 10 meV per atom
SG: Immm, No. 71

Cell lengths 4.579, 7.634, 8.797 Å; angles 115.71, 105.09, 90.00 degrees
Fractional coordinates of all 11 atoms:
1 Cd 0.668 0.862 0.337
2 Cd 0.332 0.138 0.663
3 Cd 0.332 0.525 0.663
4 Cd 0.668 0.475 0.337
5 Zn 0.221 0.721 0.442
6 Zn 0.500 0.174 0.000
7 Zn 0.779 0.279 0.558
8 Zn 0.500 0.826 0.000
9 La 0.126 0.126 0.253
10 La 0.000 0.500 0.000
11 La 0.874 0.874 0.747

---

Compound: La2ZnCd3
Source: Alexandria via LeMat-Bulk
Functional: PBE
Structure: relaxed

Values from the calculation:
offset from the most stable computed form: 78 meV per atom
SG: Imm2, No. 44

Cell lengths 5.032, 3.712, 9.276 Å; angles 101.54, 105.74, 90.00 degrees
Fractional coordinates of all 6 atoms:
1 Cd 0.289 0.789 0.579
2 Cd 0.547 0.547 0.095
3 Cd 0.713 0.713 0.426
4 La 0.121 0.121 0.242
5 La 0.887 0.387 0.774
6 Zn 0.442 0.942 0.884

---

Compound: LaZnCd2
Source: Alexandria via LeMat-Bulk
Functional: PBE
Structure: relaxed

Values from the calculation:
SG: R-3m, No. 166

Cell lengths 9.695, 9.695, 9.695 Å; angles 21.18, 21.18, 21.18 degrees
Fractional coordinates of all 4 atoms:
1 Cd 0.486 0.486 0.486
2 Cd 0.014 0.014 0.014
3 Zn 0.750 0.750 0.750
4 La 0.250 0.250 0.250

---

Compound: LaZn2Cd
Source: Alexandria via LeMat-Bulk
Functional: PBE
Structure: relaxed

Values from the calculation:
SG: R3m, No. 160

Cell lengths 4.483, 4.483, 6.032 Å; angles 68.17, 68.17, 59.99 degrees
Fractional coordinates of all 4 atoms:
1 Zn 0.045 0.045 0.865
2 Zn 0.726 0.726 0.822
3 Cd 0.468 0.468 0.594
4 La 0.260 0.260 0.219

---

Compound: LaZnCd2
Source: Alexandria via LeMat-Bulk
Functional: PBE
Structure: relaxed

Values from the calculation:
SG: Pm, No. 6

Cell lengths 4.553, 3.360, 6.651 Å; angles 75.31, 90.00, 90.00 degrees
Fractional coordinates of all 4 atoms:
1 Cd 0.500 0.210 0.205
2 Cd 0.000 0.812 0.004
3 La 0.000 0.546 0.531
4 Zn 0.500 0.931 0.760

---

Compound: La6ZnCd3
Source: Alexandria via LeMat-Bulk
Functional: PBE
Structure: relaxed

Values from the calculation:
SG: P2_1/m, No. 11

Cell lengths 5.520, 9.536, 12.251 Å; angles 108.92, 90.00, 90.00 degrees
Fractional coordinates of all 20 atoms:
1 La 0.750 0.873 0.854
2 La 0.250 0.245 0.498
3 La 0.250 0.468 0.085
4 La 0.250 0.664 0.672
5 La 0.750 0.755 0.502
6 La 0.750 0.532 0.915
7 La 0.750 0.914 0.133
8 La 0.250 0.086 0.867
9 La 0.750 0.146 0.684
10 La 0.250 0.854 0.316
11 La 0.250 0.127 0.146
12 La 0.750 0.336 0.328
13 Zn 0.250 0.957 0.591
14 Zn 0.750 0.043 0.409
15 Cd 0.750 0.236 0.028
16 Cd 0.250 0.388 0.781
17 Cd 0.750 0.466 0.628
18 Cd 0.250 0.534 0.372
19 Cd 0.750 0.612 0.219
20 Cd 0.250 0.764 0.972

---

Compound: LaZn3Cd9
Source: Alexandria via LeMat-Bulk
Functional: PBE
Structure: relaxed

Values from the calculation:
SG: C2/m, No. 12

Cell lengths 5.796, 7.472, 7.503 Å; angles 81.60, 67.28, 67.79 degrees
Fractional coordinates of all 13 atoms:
1 Zn 0.000 0.000 0.500
2 Zn 0.500 0.500 0.000
3 Zn 0.500 0.000 0.500
4 Cd 0.290 0.214 0.221
5 Cd 0.000 0.500 0.000
6 Cd 0.000 0.655 0.353
7 Cd 0.511 0.214 0.779
8 Cd 0.647 0.345 0.353
9 Cd 0.000 0.345 0.647
10 Cd 0.353 0.655 0.647
11 Cd 0.489 0.786 0.221
12 Cd 0.710 0.786 0.779
13 La 0.000 0.000 0.000

---

Compound: La8Zn2Cd
Source: Alexandria via LeMat-Bulk
Functional: PBE
Structure: relaxed

Values from the calculation:
offset from the most stable computed form: 0 meV per atom
SG: C2/m, No. 12

Cell lengths 5.145, 7.922, 9.615 Å; angles 110.96, 105.52, 90.00 degrees
Fractional coordinates of all 11 atoms:
1 Zn 0.183 0.679 0.367
2 Zn 0.817 0.321 0.633
3 La 0.191 0.298 0.382
4 La 0.675 0.973 0.351
5 La 0.588 0.463 0.176
6 La 0.032 0.759 0.063
7 La 0.412 0.537 0.824
8 La 0.968 0.241 0.937
9 La 0.325 0.027 0.649
10 La 0.809 0.702 0.618
11 Cd 0.500 0.000 0.000

---

Compound: La4ZnCd
Source: Alexandria via LeMat-Bulk
Functional: PBE
Structure: relaxed

Values from the calculation:
offset from the most stable computed form: 219 meV per atom
SG: C2/m, No. 12

Cell lengths 5.289, 5.293, 7.459 Å; angles 89.89, 89.93, 90.00 degrees
Fractional coordinates of all 6 atoms:
1 Cd 0.501 0.497 0.998
2 La 0.501 0.998 0.726
3 La 0.001 0.498 0.271
4 La 0.002 0.497 0.725
5 La 0.502 0.997 0.270
6 Zn 0.001 0.997 0.498

---

Compound: LaZnCd3
Source: Alexandria via LeMat-Bulk
Functional: PBE
Structure: relaxed

Values from the calculation:
offset from the most stable computed form: 17 meV per atom
SG: Cm, No. 8

Cell lengths 5.472, 5.472, 5.113 Å; angles 61.96, 61.96, 78.64 degrees
Fractional coordinates of all 5 atoms:
1 Zn 0.306 0.306 0.596
2 Cd 0.298 0.894 0.304
3 Cd 0.894 0.298 0.304
4 Cd 0.912 0.912 0.986
5 La 0.591 0.591 0.808

---

Compound: LaZn2Cd
Source: Alexandria via LeMat-Bulk
Functional: PBE
Structure: relaxed

Values from the calculation:
SG: P4mm, No. 99

Cell lengths 3.453, 3.452, 7.496 Å; angles 90.00, 90.00, 90.00 degrees
Fractional coordinates of all 4 atoms:
1 La 0.500 0.500 0.770
2 Cd 0.000 0.000 0.452
3 Zn 0.500 0.500 0.226
4 Zn 0.000 0.000 0.052

---

Compound: La2ZnCd2
Source: Alexandria via LeMat-Bulk
Functional: PBE
Structure: relaxed

Values from the calculation:
offset from the most stable computed form: 141 meV per atom
SG: I4/mmm, No. 139

Cell lengths 4.028, 4.028, 9.500 Å; angles 77.76, 77.76, 90.00 degrees
Fractional coordinates of all 5 atoms:
1 Cd 0.250 0.750 0.500
2 Cd 0.750 0.250 0.500
3 La 0.591 0.591 0.818
4 La 0.409 0.409 0.182
5 Zn 0.000 0.000 0.000

---

Compound: LaZrZnCd
Source: Alexandria via LeMat-Bulk
Functional: PBE
Structure: relaxed

Values from the calculation:
SG: F-43m, No. 216

Cell lengths 5.162, 5.162, 5.162 Å; angles 60.00, 60.00, 60.00 degrees
Fractional coordinates of all 4 atoms:
1 Zr 0.500 0.500 0.500
2 Cd 0.250 0.250 0.250
3 La 0.000 0.000 0.000
4 Zn 0.750 0.750 0.750

---

Compound: LaZr2Cd
Source: Alexandria via LeMat-Bulk
Functional: PBE
Structure: relaxed

Values from the calculation:
SG: F-43m, No. 216

Cell lengths 5.238, 5.238, 5.238 Å; angles 60.00, 60.00, 60.00 degrees
Fractional coordinates of all 4 atoms:
1 Cd 0.500 0.500 0.500
2 Zr 0.250 0.250 0.250
3 Zr 0.000 0.000 0.000
4 La 0.750 0.750 0.750

---

Compound: LaZr2Cd
Source: Alexandria via LeMat-Bulk
Functional: PBE
Structure: relaxed

Values from the calculation:
SG: Pmmm, No. 47

Cell lengths 3.330, 4.161, 7.105 Å; angles 90.00, 90.00, 90.00 degrees
Fractional coordinates of all 4 atoms:
1 Zr 0.000 0.000 0.475
2 Zr 0.000 0.000 0.025
3 La 0.500 0.500 0.750
4 Cd 0.500 0.500 0.250

---

Compound: La4ZrCd
Source: Alexandria via LeMat-Bulk
Functional: PBE
Structure: relaxed

Values from the calculation:
SG: F-43m, No. 216

Cell lengths 6.506, 6.506, 6.506 Å; angles 60.00, 60.00, 60.00 degrees
Fractional coordinates of all 6 atoms:
1 La 0.376 0.376 0.872
2 La 0.376 0.376 0.376
3 La 0.872 0.376 0.376
4 La 0.376 0.872 0.376
5 Cd 0.000 0.000 0.000
6 Zr 0.750 0.750 0.750

---

Compound: LaZr4Cd
Source: Alexandria via LeMat-Bulk
Functional: PBE
Structure: relaxed

Values from the calculation:
SG: F-43m, No. 216

Cell lengths 6.015, 6.015, 6.015 Å; angles 60.00, 60.00, 60.00 degrees
Fractional coordinates of all 6 atoms:
1 Zr 0.373 0.880 0.373
2 Zr 0.880 0.373 0.373
3 Zr 0.373 0.373 0.880
4 Zr 0.373 0.373 0.373
5 Cd 0.750 0.750 0.750
6 La 0.000 0.000 0.000

---

Compound: LaZrCd3
Source: Alexandria via LeMat-Bulk
Functional: PBE
Structure: relaxed

Values from the calculation:
offset from the most stable computed form: 824 meV per atom
SG: Pm-3m, No. 221

Cell lengths 5.641, 5.641, 5.641 Å; angles 90.00, 90.00, 90.00 degrees
Fractional coordinates of all 5 atoms:
1 Zr 0.500 0.500 0.500
2 Cd 0.000 0.000 0.500
3 Cd 0.500 0.000 0.000
4 Cd 0.000 0.500 0.000
5 La 0.000 0.000 0.000

---

Compound: LaZr2Cd
Source: Alexandria via LeMat-Bulk
Functional: PBE
Structure: relaxed

Values from the calculation:
SG: P2/m, No. 10

Cell lengths 5.373, 3.272, 5.942 Å; angles 81.38, 90.00, 90.00 degrees
Fractional coordinates of all 4 atoms:
1 La 0.500 0.750 0.750
2 Zr 0.000 0.070 0.022
3 Zr 0.000 0.430 0.478
4 Cd 0.500 0.250 0.250

---

Compound: LaZrCd3
Source: Alexandria via LeMat-Bulk
Functional: PBE
Structure: relaxed

Values from the calculation:
offset from the most stable computed form: 0 meV per atom
SG: Pm-3m, No. 221

Cell lengths 5.436, 5.436, 5.436 Å; angles 90.00, 90.00, 90.00 degrees
Fractional coordinates of all 5 atoms:
1 La 0.500 0.500 0.500
2 Cd 0.000 0.500 0.000
3 Cd 0.500 0.000 0.000
4 Cd 0.000 0.000 0.500
5 Zr 0.000 0.000 0.000

---

Compound: La2ZrCd
Source: Alexandria via LeMat-Bulk
Functional: PBE
Structure: relaxed

Values from the calculation:
SG: C2/m, No. 12

Cell lengths 5.893, 5.893, 5.931 Å; angles 82.25, 82.25, 33.94 degrees
Fractional coordinates of all 4 atoms:
1 Cd 0.750 0.750 0.750
2 Zr 0.250 0.250 0.250
3 La 0.490 0.490 0.508
4 La 0.010 0.010 0.992

---

Compound: La2ZrCd
Source: Alexandria via LeMat-Bulk
Functional: PBE
Structure: relaxed

Values from the calculation:
SG: Immm, No. 71

Cell lengths 6.521, 6.521, 6.521 Å; angles 147.96, 128.78, 61.70 degrees
Fractional coordinates of all 4 atoms:
1 La 0.502 0.502 0.000
2 La 0.998 0.998 0.000
3 Zr 0.750 0.250 0.500
4 Cd 0.250 0.750 0.500

---

Compound: La2ZrCd
Source: Alexandria via LeMat-Bulk
Functional: PBE
Structure: relaxed

Values from the calculation:
SG: F-43m, No. 216

Cell lengths 5.400, 5.400, 5.400 Å; angles 60.00, 60.00, 60.00 degrees
Fractional coordinates of all 4 atoms:
1 La 0.250 0.250 0.250
2 La 0.000 0.000 0.000
3 Cd 0.500 0.500 0.500
4 Zr 0.750 0.750 0.750

---

Taking the records one at a time from the top gives E_form values of -0.157; -0.323; -0.175; -0.025; -0.290; -0.273; 0.007; -0.227; -0.197; -0.236; -0.140; -0.148; 0.015; -0.255; -0.140; -0.082; -0.084; 0.092; 0.103; 0.409; 0.247; 1.253; 0.117; 0.429; 0.101; 0.126; 0.109 eV/atom.